1.
DFT (PBE) results for an optimized crystal structure of Nd2Zn2Ag3.

Unit cell a=4.356 b=5.631 c=7.248 alpha=109.72 beta=90.00 gamma=112.75
Sites, in units of the cell vectors:
Ag1 0.500 0.000 0.000
Ag2 0.624 0.248 0.432
Ag3 0.376 0.752 0.568
Zn1 0.153 0.306 0.207
Zn2 0.847 0.694 0.793
Nd1 0.136 0.271 0.767
Nd2 0.864 0.729 0.233

Summary:
Spin magnetization ... 0.00 μB/cell
Density of states at the Fermi level ... 5.90 states/eV/cell
DFT formation energy ... -0.28 eV/atom
E_tot ... -0.238 Ry/atom



2.
DFT (PBE) results for an optimized crystal structure of Hf2TiV2.

Unit cell a=7.454 b=7.454 c=3.339 alpha=90.00 beta=90.00 gamma=90.00
Sites, in units of the cell vectors:
V1 0.859 0.359 0.500
V2 0.641 0.859 0.500
V3 0.359 0.141 0.500
V4 0.141 0.641 0.500
Ti1 0.000 0.000 0.000
Ti2 0.500 0.500 0.000
Hf1 0.848 0.652 0.000
Hf2 0.348 0.848 0.000
Hf3 0.652 0.152 0.000
Hf4 0.152 0.348 0.000

Summary:
Spin magnetization ... 0.27 μB/cell
Density of states at the Fermi level ... 15.43 states/eV/cell
DFT formation energy ... 0.44 eV/atom
E_tot ... -0.645 Ry/atom



3.
DFT (PBE) results for an optimized crystal structure of Li4CeSn5.

Unit cell a=3.495 b=3.495 c=17.883 alpha=90.00 beta=90.00 gamma=90.00
Sites, in units of the cell vectors:
Li1 0.000 0.000 0.218
Li2 0.000 0.000 0.595
Li3 0.000 0.000 0.782
Li4 0.000 0.000 0.405
Ce1 0.000 0.000 0.000
Sn1 0.500 0.500 0.690
Sn2 0.500 0.500 0.124
Sn3 0.500 0.500 0.310
Sn4 0.500 0.500 0.500
Sn5 0.500 0.500 0.876

Summary:
Spin magnetization ... 0.54 μB/cell
Density of states at the Fermi level ... 8.52 states/eV/cell
DFT formation energy ... -0.36 eV/atom
E_tot ... -0.274 Ry/atom



4.
DFT (PBE) results for an optimized crystal structure of Pu5In3Pb3.

Unit cell a=3.215 b=10.902 c=10.902 alpha=120.00 beta=90.00 gamma=90.00
Sites, in units of the cell vectors:
Pb1 0.000 0.406 0.406
Pb2 0.000 0.000 0.594
Pb3 0.000 0.594 0.000
Pu1 0.500 0.663 0.663
Pu2 0.500 0.337 0.000
Pu3 0.500 0.000 0.337
Pu4 0.500 0.667 0.333
Pu5 0.500 0.333 0.667
In1 0.500 0.000 0.841
In2 0.500 0.159 0.159
In3 0.500 0.841 0.000

Summary:
Spin magnetization ... 32.42 μB/cell
Density of states at the Fermi level ... 38.51 states/eV/cell
DFT formation energy ... 0.23 eV/atom
E_tot ... -0.591 Ry/atom



5.
DFT (PBE) results for an optimized crystal structure of Nd4SnBi3.

Unit cell a=6.489 b=6.489 c=6.489 alpha=90.00 beta=90.00 gamma=90.00
Sites, in units of the cell vectors:
Sn1 0.000 0.000 0.000
Bi1 0.500 0.500 0.000
Bi2 0.500 0.000 0.500
Bi3 0.000 0.500 0.500
Nd1 0.000 0.000 0.500
Nd2 0.500 0.500 0.500
Nd3 0.500 0.000 0.000
Nd4 0.000 0.500 0.000

Summary:
Spin magnetization ... 0.00 μB/cell
Density of states at the Fermi level ... 5.39 states/eV/cell
DFT formation energy ... -0.85 eV/atom
E_tot ... -0.382 Ry/atom



6.
DFT (PBE) results for an optimized crystal structure of La3SbI.

Unit cell a=4.384 b=9.916 c=11.067 alpha=113.75 beta=89.42 gamma=103.04
Sites, in units of the cell vectors:
La1 0.647 0.295 0.072
La2 0.353 0.705 0.928
La3 0.818 0.621 0.423
La4 0.182 0.379 0.577
La5 0.988 0.972 0.825
La6 0.012 0.028 0.175
I1 0.165 0.322 0.848
I2 0.835 0.678 0.152
Sb1 0.629 0.264 0.355
Sb2 0.371 0.736 0.645

Summary:
Spin magnetization ... 0.00 μB/cell
Energy relative to the elements, uncorrected ... -321 kJ/mol of formula units
Density of states at the Fermi level ... 10.24 states/eV/cell
E_tot ... -0.350 Ry/atom